Material: BaCuPt2
Method: DFT, PBE
State: optimized geometry

The calculation puts the total energy at -4.4527 eV/atom. The value obtained for the offset from the most stable computed form is 0.5630 eV/atom.

It has space group I-4m2 (No. 119), with a = 4.3948 Å, b = 4.3948 Å, c = 8.5870 Å, α = 90.00°, β = 90.00° and γ = 90.00°. The distinct sites, in fractional coordinates, are Ba at (0.0000, 0.0000, 0.0000), Cu at (0.0000, 0.5000, 0.7500), Pt at (0.0000, 0.0000, 0.5000) and Pt at (0.0000, 0.5000, 0.2500).